[1]
SiAsAu: single point on PBEsol structure, SCAN.

Values from the calculation:
As for the space group: F-43m, No. 216. Its total DFT energy (no corrections) is -32.91 eV/atom. The value obtained for the uncorrected formation energy is 0.21 eV/atom.

Geometry as POSCAR:
```
SiAsAu
1.0
-0.2147 -4.0469 -1.4133
3.0905 -2.7970 1.0228
-0.8190 -3.1925 2.7491
Si As Au
1 1 1
Cartesian
0.5142 -2.5091 0.5897
0.0000 0.0000 0.0000
1.0284 -5.0182 1.1793
```

---

[2]
ZrSiAs2Au: single point on PBEsol structure, SCAN.

Values from the calculation:
As for the space group: P4/mmm, No. 123. Its total DFT energy (no corrections) is -29.33 eV/atom. The value obtained for the uncorrected formation energy is 0.72 eV/atom.

Geometry as POSCAR:
```
ZrSiAs2Au
1.0
-3.0066 -0.8790 -3.9450
-3.3765 -2.1561 3.0538
-2.2711 4.5669 0.7133
As Zr Si Au
2 1 1 1
Cartesian
-1.5033 -0.4395 -1.9725
-1.6883 -1.0781 1.5269
0.0000 0.0000 0.0000
-4.3271 0.7659 -0.0890
-1.1356 2.2834 0.3567
```

---

[3]
SnAs2Au: single point on PBEsol structure, SCAN.

Values from the calculation:
The value obtained for the energy of formation is -44.3 meV per atom. As for the space group: I-42d, No. 122. Its total DFT energy (no corrections) is -36.41 eV/atom.

Geometry as POSCAR:
```
SnAs2Au
1.0
-5.6855 -1.1944 -1.2898
-0.9606 -1.5458 5.6659
1.8590 6.9600 -0.9112
As Au Sn
4 2 2
Cartesian
-2.3738 -0.0323 4.2766
-5.0043 0.0870 0.7379
-2.7822 3.4709 2.1853
0.5862 4.9139 -0.2700
-1.2123 2.0220 3.4714
0.0000 0.0000 0.0000
-3.5747 2.1977 -0.0065
-3.3230 -1.3701 2.1880
```

---

[4]
Sn2As2Au: single point on PBEsol structure, SCAN.

Values from the calculation:
The value obtained for the energy of formation is 189.7 meV per atom. As for the space group: I4/mmm, No. 139. Its total DFT energy (no corrections) is -36.09 eV/atom.

Geometry as POSCAR:
```
Sn2As2Au
1.0
3.6811 0.0000 0.0000
0.0000 3.6811 0.0000
-1.8406 -1.8406 8.2757
Au Sn As
1 2 2
Cartesian
0.0000 0.0000 0.0000
1.8406 1.8406 1.5735
0.0000 0.0000 6.7021
0.0000 1.8406 4.1378
1.8406 0.0000 4.1378
```

---

[5]
Sr2AsAu: single point on PBEsol structure, SCAN.

Values from the calculation:
The value obtained for the energy of formation is -1102.3 meV per atom. As for the space group: Amm2, No. 38. Its total DFT energy (no corrections) is -34.58 eV/atom.

Geometry as POSCAR:
```
Sr2AsAu
1.0
4.2739 0.0000 0.0000
0.0000 4.5255 0.0000
-2.1370 0.0000 5.7422
Sr As Au
2 1 1
Cartesian
0.0000 0.0000 3.0169
2.1370 2.2628 5.6021
2.1370 0.0000 0.5208
2.1370 2.2628 2.3447
```

---

[6]
Sr2AsAu: single point on PBEsol structure, SCAN.

Values from the calculation:
The value obtained for the energy of formation is -1046.9 meV per atom. As for the space group: P4/mmm, No. 123. Its total DFT energy (no corrections) is -34.52 eV/atom.

Geometry as POSCAR:
```
Sr2AsAu
1.0
-2.2618 3.0573 0.2292
-2.1573 -1.2473 -4.6490
-3.6556 -2.8897 2.4716
Au Sr As
1 2 1
Cartesian
-4.0373 -0.5399 -0.9741
-1.0786 -0.6237 -2.3245
-1.8278 -1.4449 1.2358
-1.1309 1.5286 0.1146
```

---

Among the records above, which one has the highest total DFT energy (no corrections)? ZrSiAs2Au